(1)
# Li3MnS | the Alexandria database | GGA-PBEsol | optimized geometry
data_Li3MnS
_cell_length_a 4.684
_cell_length_b 4.684
_cell_length_c 4.684
_cell_angle_alpha 90.00
_cell_angle_beta 90.00
_cell_angle_gamma 90.00
_symmetry_space_group_name_H-M 'P m -3 m'
_symmetry_Int_Tables_number 221
_symmetry_space_group_name_Hall '-P 4 2 3'
loop_
_atom_site_label
_atom_site_type_symbol
_atom_site_fract_x
_atom_site_fract_y
_atom_site_fract_z
Li1 Li 0.000 0.000 0.500
Mn1 Mn 0.000 0.000 0.000
S1 S 0.500 0.500 0.500
# N(E_F) = 1.311 states/eV/atom
# formation energy from raw total energies = 0.677 eV/atom
# E = -3.3323 eV per atom
# total magnetization = 4.05 μB/cell

---

(2)
# LiMnSb2 | the Alexandria database | GGA-PBEsol | optimized geometry
data_LiMnSb2
_cell_length_a 3.3630
_cell_length_b 3.3630
_cell_length_c 24.2539
_cell_angle_alpha 90.00
_cell_angle_beta 90.00
_cell_angle_gamma 120.00
_symmetry_space_group_name_H-M 'R -3 m'
_symmetry_Int_Tables_number 166
_symmetry_space_group_name_Hall '-R 3 2"'
loop_
_atom_site_label
_atom_site_type_symbol
_atom_site_fract_x
_atom_site_fract_y
_atom_site_fract_z
Li1 Li 0.0000 0.0000 0.0000
Mn1 Mn 0.0000 0.0000 0.5000
Sb1 Sb 0.0000 0.0000 0.2405
# N(E_F) = 0.288 states/eV/atom
# formation energy from raw total energies = -0.126 eV/atom
# E = -5.3366 eV per atom
# total magnetization = 6.77 μB/cell

---

(3)
# LiMn2Sb | the Alexandria database | GGA-PBEsol | optimized geometry
data_LiMn2Sb
_cell_length_a 3.0235
_cell_length_b 3.0235
_cell_length_c 26.9013
_cell_angle_alpha 90.00
_cell_angle_beta 90.00
_cell_angle_gamma 120.00
_symmetry_space_group_name_H-M 'R -3 m'
_symmetry_Int_Tables_number 166
_symmetry_space_group_name_Hall '-R 3 2"'
loop_
_atom_site_label
_atom_site_type_symbol
_atom_site_fract_x
_atom_site_fract_y
_atom_site_fract_z
Li1 Li 0.0000 0.0000 0.0000
Mn1 Mn 0.0000 0.0000 0.2505
Sb1 Sb 0.0000 0.0000 0.5000
# N(E_F) = 0.939 states/eV/atom
# formation energy from raw total energies = 0.601 eV/atom
# E = -5.9110 eV per atom
# total magnetization = 22.06 μB/cell